Below is an optimized crystal structure of LaHf2F11, with properties calculated at the GGA-PBEsol level.

Cell and atoms, written as CIF:
```
data_LaHf2F11
_chemical_formula_sum 'La4 Hf8 F44'
_cell_length_a 7.706
_cell_length_b 10.014
_cell_length_c 11.046
_cell_angle_alpha 90.00
_cell_angle_beta 90.00
_cell_angle_gamma 90.00
_space_group_name_H-M_alt 'I b a m'
_space_group_IT_number 72
_space_group_name_Hall '-I 2 2c'
loop_
_atom_site_label
_atom_site_type_symbol
_atom_site_fract_x
_atom_site_fract_y
_atom_site_fract_z
La1 La 0.000 0.000 0.250
Hf1 Hf 0.132 0.319 0.000
F1 F 0.000 0.500 0.000
F2 F 0.103 0.187 0.135
F3 F 0.131 0.281 0.500
F4 F 0.238 0.077 0.372
```

Results
crystal system	orthorhombic
E_form (uncorrected)	-3952	meV/atom
density	5.5	g/cm3

=====

Below is an optimized crystal structure of Zn2TcAg, with properties calculated at the GGA-PBEsol level.

Cell and atoms, written as CIF:
```
data_Zn2TcAg
_chemical_formula_sum 'Zn4 Tc2 Ag2'
_cell_length_a 2.715
_cell_length_b 4.532
_cell_length_c 9.295
_cell_angle_alpha 90.00
_cell_angle_beta 90.00
_cell_angle_gamma 90.00
_space_group_name_H-M_alt 'I m m 2'
_space_group_IT_number 44
loop_
_space_group_symop_operation_xyz
'x,y,z'
'-x,-y,z'
'-x,y,z'
'x,-y,z'
'x+1/2,y+1/2,z+1/2'
'-x+1/2,-y+1/2,z+1/2'
'-x+1/2,y+1/2,z+1/2'
'x+1/2,-y+1/2,z+1/2'
loop_
_atom_site_label
_atom_site_type_symbol
_atom_site_fract_x
_atom_site_fract_y
_atom_site_fract_z
Zn1 Zn 0.000 0.000 0.000
Zn2 Zn 0.000 0.500 0.263
Tc1 Tc 0.000 0.000 0.516
Ag1 Ag 0.000 0.500 0.746
```

Results
crystal system	orthorhombic
energy of formation	18.0	kJ/mol of atoms
density	9.8	g/cm3
energy relative to the lowest polymorph listed for this composition	90	meV/atom

=====

Below is an optimized crystal structure of ZrCNF2, with properties calculated at the GGA-PBEsol level.

Cell and atoms, written as CIF:
```
data_ZrCNF2
_chemical_formula_sum 'Zr1 C1 N1 F2'
_cell_length_a 4.604
_cell_length_b 4.604
_cell_length_c 2.506
_cell_angle_alpha 90.00
_cell_angle_beta 90.00
_cell_angle_gamma 90.00
_space_group_name_H-M_alt 'P 4/m m m'
_space_group_IT_number 123
_space_group_name_Hall '-P 4 2'
loop_
_atom_site_label
_atom_site_type_symbol
_atom_site_fract_x
_atom_site_fract_y
_atom_site_fract_z
Zr1 Zr 0.000 0.000 0.000
C1 C 0.500 0.500 0.500
N1 N 0.500 0.500 0.000
F1 F 0.000 0.500 0.500
```

Results
crystal system	tetragonal
E_form (uncorrected)	-554	meV/atom
density	4.9	g/cm3
energy relative to the lowest polymorph listed for this composition	0	meV/atom

=====

Below is an optimized crystal structure of Cs3Tm2I9, with properties calculated at the GGA-PBEsol level.

Cell and atoms, written as CIF:
```
data_Cs3Tm2I9
_chemical_formula_sum 'Cs6 Tm4 I18'
_cell_length_a 8.2734
_cell_length_b 8.2734
_cell_length_c 20.9450
_cell_angle_alpha 90.00
_cell_angle_beta 90.00
_cell_angle_gamma 120.00
_space_group_name_H-M_alt 'P 63/m m c'
_space_group_IT_number 194
_space_group_name_Hall '-P 6c 2c'
loop_
_atom_site_label
_atom_site_type_symbol
_atom_site_fract_x
_atom_site_fract_y
_atom_site_fract_z
Cs1 Cs 0.0000 0.0000 0.2500
Cs2 Cs 0.3333 0.6667 0.0669
Tm1 Tm 0.3333 0.6667 0.6561
I1 I 0.0056 0.5028 0.7500
I2 I 0.1625 0.3250 0.5845
```

Results
crystal system	hexagonal
E_form (uncorrected)	-1473	meV/atom
density	5.0	g/cm3

=====

Below is an optimized crystal structure of NaH4ClO2, with properties calculated at the GGA-PBEsol level.

Cell and atoms, written as CIF:
```
data_NaH4ClO2
_chemical_formula_sum 'Na4 H16 Cl4 O8'
_cell_length_a 6.300
_cell_length_b 10.054
_cell_length_c 6.522
_cell_angle_alpha 90.00
_cell_angle_beta 117.19
_cell_angle_gamma 90.00
_space_group_name_H-M_alt 'P 1 21/c 1'
_space_group_IT_number 14
loop_
_space_group_symop_operation_xyz
'x,y,z'
'-x,-y,-z'
'-x,y+1/2,-z+1/2'
'x,-y+1/2,z+1/2'
loop_
_atom_site_label
_atom_site_type_symbol
_atom_site_fract_x
_atom_site_fract_y
_atom_site_fract_z
Na1 Na 0.008 0.168 0.444
H1 H 0.228 0.586 0.786
H2 H 0.260 0.047 0.889
H3 H 0.389 0.687 0.970
H4 H 0.400 0.515 0.260
Cl1 Cl 0.283 0.114 0.207
O1 O 0.225 0.677 0.844
O2 O 0.241 0.017 0.736
```

Results
crystal system	monoclinic
DFT total energy	-4.612	eV/atom
density	1.7	g/cm3

=====

Below is an optimized crystal structure of Mg4AgCl, with properties calculated at the GGA-PBEsol level.

Cell and atoms, written as CIF:
```
data_Mg4AgCl
_chemical_formula_sum 'Mg16 Ag4 Cl4'
_cell_length_a 8.161
_cell_length_b 8.161
_cell_length_c 8.161
_cell_angle_alpha 90.00
_cell_angle_beta 90.00
_cell_angle_gamma 90.00
_space_group_name_H-M_alt 'F -4 3 m'
_space_group_IT_number 216
_space_group_name_Hall 'F -4 2 3'
loop_
_atom_site_label
_atom_site_type_symbol
_atom_site_fract_x
_atom_site_fract_y
_atom_site_fract_z
Mg1 Mg 0.124 0.124 0.376
Ag1 Ag 0.250 0.250 0.750
Cl1 Cl 0.000 0.000 0.000
```

Results
crystal system	cubic
E_form (uncorrected)	86	meV/atom
density	2.9	g/cm3

=====

Repeat the first record exactly.
Below is an optimized crystal structure of LaHf2F11, with properties calculated at the GGA-PBEsol level.

Cell and atoms, written as CIF:
```
data_LaHf2F11
_chemical_formula_sum 'La4 Hf8 F44'
_cell_length_a 7.706
_cell_length_b 10.014
_cell_length_c 11.046
_cell_angle_alpha 90.00
_cell_angle_beta 90.00
_cell_angle_gamma 90.00
_space_group_name_H-M_alt 'I b a m'
_space_group_IT_number 72
_space_group_name_Hall '-I 2 2c'
loop_
_atom_site_label
_atom_site_type_symbol
_atom_site_fract_x
_atom_site_fract_y
_atom_site_fract_z
La1 La 0.000 0.000 0.250
Hf1 Hf 0.132 0.319 0.000
F1 F 0.000 0.500 0.000
F2 F 0.103 0.187 0.135
F3 F 0.131 0.281 0.500
F4 F 0.238 0.077 0.372
```

Results
crystal system	orthorhombic
E_form (uncorrected)	-3952	meV/atom
density	5.5	g/cm3